Record 1
A relaxed TbNdZnIr crystal, computed with PBE.

abc: 3.9617 4.4015 5.7702
angles: 90.00 110.08 90.00
Last column: nearest neighbours and their distance in Å.
Positions (direct):
Tb  0.8622  0.5000  0.7243  3 Zn 2.99-3.19, 4 Ir 3.04
Nd  0.1419  0.0000  0.2837  3 Ir 3.05-3.10, 4 Zn 3.07
Zn  0.5682  0.5000  0.1365  2 Ir 2.68, 2 Tb 2.99
Ir  0.4277  0.0000  0.8555  2 Zn 2.68

Results
Energy above the lowest structure with this stoichiometry (kcal/mol of atoms): 0.00
Space-group type: No. 38
Volume (Å³ per atom): 23.6
Electronic total energy (eV/f.u.): -21.74
Formation energy (meV per atom): -551
Crystal system: orthorhombic



Record 2
A relaxed TbNdZnIr crystal, computed with PBE.

abc: 5.0277 5.0277 5.0277
angles: 60.00 60.00 60.00
Last column: nearest neighbours and their distance in Å.
Positions (direct):
Nd  0.7500  0.7500  0.7500  4 Ir 3.08, 4 Zn 3.08
Zn  0.5000  0.5000  0.5000  4 Tb 3.08, 4 Nd 3.08
Ir  0.0000  0.0000  0.0000  4 Tb 3.08, 4 Nd 3.08
Tb  0.2500  0.2500  0.2500  4 Ir 3.08, 4 Zn 3.08

Results
Energy above the lowest structure with this stoichiometry (kcal/mol of atoms): 0.34
Space-group type: No. 216
Volume (Å³ per atom): 22.5
Electronic total energy (eV/f.u.): -21.68
Formation energy (meV per atom): -536
Crystal system: cubic